Computed, not measured: crystalline ErAlZnNi at its relaxed geometry at the PBE level of DFT.

```
data_ErAlZnNi
_cell_length_a 4.069
_cell_length_b 9.526
_cell_length_c 7.042
_cell_angle_alpha 90.00
_cell_angle_beta 90.00
_cell_angle_gamma 90.00
_space_group_name_H-M_alt 'C m c 21'
_space_group_IT_number 36
_space_group_name_Hall 'C 2c -2'
loop_
_atom_site_label
_atom_site_fract_x
_atom_site_fract_y
_atom_site_fract_z
_atom_site_occupancy
Er1 0.000 0.063 0.000 1
Al1 0.000 0.346 0.198 1
Zn1 0.000 0.356 0.809 1
Ni1 0.000 0.220 0.508 1
```

## Properties
The calculated total energy is -4.3160 eV per atom. The total moment is 0.00 μB/cell.